A geometry-optimized GaRhC3 structure. Source: Alexandria via LeMat-Bulk, functional PBE.

Geometry as POSCAR:
```
GaRhC3
1.0
3.920 0.000 0.000
0.000 3.920 0.000
0.000 0.000 3.920
C Rh Ga
3 1 1
direct
0.000 0.500 0.000
0.000 0.000 0.500
0.500 0.000 0.000
0.500 0.500 0.500
0.000 0.000 0.000
```

The excess energy over the best structure of this formula in the dataset is 0.559 eV per atom. The value obtained for the uncorrected energy is -4.853 eV/atom. The formation energy from the elements comes out at 2757 meV per atom.

=====

A geometry-optimized LuTlNi2 structure. Source: Alexandria via LeMat-Bulk, functional PBE.

Geometry as POSCAR:
```
LuTlNi2
1.0
-1.838 1.261 -3.992
0.252 -2.788 -3.615
-3.764 -2.087 -1.544
Ni Tl Lu
2 1 1
direct
0.250 0.250 0.250
0.750 0.750 0.750
0.500 0.500 0.500
0.000 0.000 0.000
```

The value obtained for the uncorrected energy is -4.841 eV/atom. The formation energy from the elements comes out at -228 meV per atom.

=====

A geometry-optimized KAcPd2 structure. Source: Alexandria via LeMat-Bulk, functional PBE.

Geometry as POSCAR:
```
KAcPd2
1.0
4.265 0.000 0.000
2.133 3.694 0.000
2.133 1.231 8.149
Ac K Pd
1 1 2
direct
0.000 0.000 0.000
0.500 0.500 0.500
0.737 0.737 0.788
0.263 0.263 0.212
```

The excess energy over the best structure of this formula in the dataset is 0.096 eV per atom. The value obtained for the uncorrected energy is -4.204 eV/atom. The formation energy from the elements comes out at -306 meV per atom.

=====

A geometry-optimized MgS2Br structure. Source: Alexandria via LeMat-Bulk, functional PBE.

Geometry as POSCAR:
```
MgS2Br
1.0
-3.634 -1.666 0.714
0.224 -2.001 -3.527
3.034 -10.041 3.551
S Mg Br
4 2 2
direct
0.487 0.125 0.250
0.263 0.625 0.250
0.375 0.513 0.750
0.875 0.737 0.750
0.500 0.500 0.000
0.250 0.750 0.500
0.000 0.000 0.000
0.750 0.250 0.500
```

The excess energy over the best structure of this formula in the dataset is 0.206 eV per atom. The value obtained for the uncorrected energy is -3.258 eV/atom. The uncorrected formation energy is -0.378 eV per atom.

=====

A geometry-optimized Re2RhPb structure. Source: Alexandria via LeMat-Bulk, functional PBE.

Geometry as POSCAR:
```
Re2RhPb
1.0
-0.404 4.319 2.657
-4.090 -3.023 -0.126
0.951 -1.387 2.399
Re Rh Pb
2 1 1
direct
0.500 0.000 0.000
0.000 0.500 0.000
0.000 0.000 0.500
0.500 0.500 0.500
```

The value obtained for the uncorrected energy is -8.165 eV/atom. The formation energy from the elements comes out at 824 meV per atom.

=====

A geometry-optimized NpNiTe2 structure. Source: Alexandria via LeMat-Bulk, functional PBE.

Geometry as POSCAR:
```
NpNiTe2
1.0
-1.896 3.453 -1.153
1.512 -1.905 -8.191
-10.074 -5.708 -0.532
Np Ni Te
4 4 8
direct
0.750 0.807 0.672
0.250 0.693 0.172
0.250 0.193 0.328
0.750 0.307 0.828
0.750 0.957 0.440
0.250 0.543 0.940
0.250 0.043 0.560
0.750 0.457 0.060
0.750 0.223 0.545
0.250 0.277 0.045
0.250 0.777 0.455
0.750 0.723 0.955
0.750 0.471 0.283
0.250 0.029 0.783
0.250 0.529 0.717
0.750 0.971 0.217
```

The excess energy over the best structure of this formula in the dataset is 0.000 eV per atom. The value obtained for the uncorrected energy is -6.748 eV/atom. The uncorrected formation energy is -0.497 eV per atom.

=====

A geometry-optimized CdP structure. Source: Alexandria via LeMat-Bulk, functional PBE.

Geometry as POSCAR:
```
CdP
1.0
-6.529 2.965 6.396
2.648 -1.016 3.175
2.640 6.247 -0.202
Cd P
6 6
direct
0.842 0.192 0.203
0.658 0.808 0.703
0.158 0.192 0.203
0.342 0.808 0.703
0.000 0.056 0.852
0.500 0.944 0.352
0.808 0.330 0.576
0.692 0.670 0.076
0.192 0.330 0.576
0.308 0.670 0.076
0.000 0.601 0.591
0.500 0.399 0.091
```

The excess energy over the best structure of this formula in the dataset is 0.160 eV per atom. The value obtained for the uncorrected energy is -3.045 eV/atom. The formation energy from the elements comes out at 118 meV per atom.

=====

A geometry-optimized Nb2CdTe4 structure. Source: Alexandria via LeMat-Bulk, functional PBE.

Geometry as POSCAR:
```
Nb2CdTe4
1.0
1.809 3.470 -7.331
8.107 -0.866 1.593
-5.033 -6.946 0.179
Nb Cd Te
4 2 8
direct
0.625 0.875 0.250
0.625 0.375 0.750
0.125 0.375 0.750
0.625 0.375 0.250
0.250 0.750 0.500
0.000 0.000 0.000
0.855 0.593 0.710
0.395 0.157 0.790
0.883 0.145 0.290
0.407 0.145 0.290
0.855 0.117 0.710
0.367 0.605 0.210
0.843 0.605 0.210
0.395 0.633 0.790
```

The value obtained for the uncorrected energy is -4.978 eV/atom. The uncorrected formation energy is -0.175 eV per atom.